VASP calculation (PBE) on a geometry-optimized Th3CoOs structure. Values from VASP.

```
&SYSTEM
  ibrav = 0, nat = 10, ntyp = 3
/
ATOMIC_SPECIES
Th 232.04 Th.upf
Co 58.93 Co.upf
Os 190.23 Os.upf
CELL_PARAMETERS angstrom
7.092 -2.124 0.000
7.092 2.124 0.000
-2.416 0.000 8.961
ATOMIC_POSITIONS angstrom
Th -0.176 0.000 2.804
Th 3.502 0.000 3.390
Th 2.717 0.000 8.854
Th 9.051 0.000 0.107
Th 8.266 0.000 5.571
Th 11.945 0.000 6.157
Co 3.014 0.000 6.120
Co 8.754 0.000 2.841
Os 0.300 0.000 7.281
Os 11.468 0.000 1.680
```

Results
Relative energy among the computed polymorphs   59 meV/atom
VASP energy   -8.34 eV/atom
Energy of formation   -108 kJ/mol of formula units

---

VASP calculation (PBE) on a geometry-optimized Th4Co2Os structure. Values from VASP.

```
&SYSTEM
  ibrav = 0, nat = 14, ntyp = 3
/
ATOMIC_SPECIES
Th 232.04 Th.upf
Co 58.93 Co.upf
Os 190.23 Os.upf
CELL_PARAMETERS angstrom
7.222 0.000 0.000
-2.560 6.989 0.000
-2.334 -3.491 6.548
ATOMIC_POSITIONS angstrom
Th 0.000 0.000 0.000
Th -1.283 3.495 0.353
Th -1.243 0.934 3.205
Th 0.007 -0.931 6.000
Th -0.199 4.272 4.002
Th 1.063 6.052 0.902
Th 2.366 0.934 3.692
Th 3.413 4.270 2.903
Co 0.914 -1.103 2.402
Co 0.396 1.811 5.469
Co 4.009 1.807 1.429
Co 4.525 -1.099 4.504
Os -2.648 2.679 5.018
Os 0.966 2.689 1.885
```

Results
Relative energy among the computed polymorphs   0 meV/atom
VASP energy   -8.15 eV/atom
Energy of formation   -184 kJ/mol of formula units

---

VASP calculation (PBE) on a geometry-optimized Th2CoOs structure. Values from VASP.

```
&SYSTEM
  ibrav = 0, nat = 8, ntyp = 3
/
ATOMIC_SPECIES
Th 232.04 Th.upf
Co 58.93 Co.upf
Os 190.23 Os.upf
CELL_PARAMETERS angstrom
5.976 0.000 0.000
0.000 4.027 0.000
-2.470 0.000 7.323
ATOMIC_POSITIONS angstrom
Th 0.290 1.007 3.127
Th -0.954 1.007 6.855
Th 4.461 3.020 0.469
Th 3.216 3.020 4.197
Co 1.365 3.020 1.475
Co 2.141 1.007 5.848
Os 0.235 3.020 5.185
Os 3.272 1.007 2.138
```

Results
VASP energy   -8.64 eV/atom
Energy of formation   -133 kJ/mol of formula units

---

VASP calculation (PBE) on a geometry-optimized ThCoOs structure. Values from VASP.

```
&SYSTEM
  ibrav = 0, nat = 3, ntyp = 3
/
ATOMIC_SPECIES
Th 232.04 Th.upf
Co 58.93 Co.upf
Os 190.23 Os.upf
CELL_PARAMETERS angstrom
-1.734 1.734 4.726
1.734 -1.734 4.726
1.734 1.734 -4.726
ATOMIC_POSITIONS angstrom
Th 0.000 0.000 0.000
Co 0.000 0.000 6.791
Os 0.000 0.000 2.756
```

Results
VASP energy   -8.39 eV/atom
Energy of formation   56 kJ/mol of formula units

---

VASP calculation (PBE) on a geometry-optimized Th2CoOs structure. Values from VASP.

```
&SYSTEM
  ibrav = 0, nat = 4, ntyp = 3
/
ATOMIC_SPECIES
Th 232.04 Th.upf
Co 58.93 Co.upf
Os 190.23 Os.upf
CELL_PARAMETERS angstrom
1.988 1.148 8.261
-1.988 1.148 8.261
0.000 -2.296 8.261
ATOMIC_POSITIONS angstrom
Th 0.000 0.000 2.493
Th 0.000 0.000 22.291
Co 0.000 0.000 0.000
Os 0.000 0.000 12.392
```

Results
VASP energy   -7.84 eV/atom
Energy of formation   176 kJ/mol of formula units

---

VASP calculation (PBE) on a geometry-optimized Th2Co2Os structure. Values from VASP.

```
&SYSTEM
  ibrav = 0, nat = 10, ntyp = 3
/
ATOMIC_SPECIES
Th 232.04 Th.upf
Co 58.93 Co.upf
Os 190.23 Os.upf
CELL_PARAMETERS angstrom
7.147 0.000 0.000
0.000 7.147 0.000
0.000 0.000 3.685
ATOMIC_POSITIONS angstrom
Th 1.350 2.224 0.000
Th 2.224 5.798 0.000
Th 4.923 1.350 0.000
Th 5.798 4.923 0.000
Co 0.846 4.420 1.843
Co 2.727 0.846 1.843
Co 4.420 6.301 1.843
Co 6.301 2.727 1.843
Os 0.000 0.000 1.843
Os 3.574 3.574 1.843
```

Results
VASP energy   -8.25 eV/atom
Energy of formation   -93 kJ/mol of formula units

---

VASP calculation (PBE) on a geometry-optimized ThCoOs structure. Values from VASP.

```
&SYSTEM
  ibrav = 0, nat = 6, ntyp = 3
/
ATOMIC_SPECIES
Th 232.04 Th.upf
Co 58.93 Co.upf
Os 190.23 Os.upf
CELL_PARAMETERS angstrom
-2.587 2.673 3.832
2.587 -2.673 3.832
2.587 2.673 -3.832
ATOMIC_POSITIONS angstrom
Th 0.000 1.336 0.941
Th 2.587 1.336 2.891
Co 2.587 0.000 0.000
Co 0.000 0.000 3.832
Os 1.294 1.336 -1.916
Os 1.294 -1.336 1.916
```

Results
VASP energy   -8.82 eV/atom
Energy of formation   -68 kJ/mol of formula units

---

VASP calculation (PBE) on a geometry-optimized Th8CoOs2 structure. Values from VASP.

```
&SYSTEM
  ibrav = 0, nat = 11, ntyp = 3
/
ATOMIC_SPECIES
Th 232.04 Th.upf
Co 58.93 Co.upf
Os 190.23 Os.upf
CELL_PARAMETERS angstrom
4.004 -6.761 0.000
4.004 6.761 0.000
-2.803 0.000 5.658
ATOMIC_POSITIONS angstrom
Th 0.000 0.000 0.000
Th 2.240 2.733 1.053
Th 3.143 5.014 3.220
Th 2.197 1.668 4.590
Th 2.240 -2.733 1.053
Th 4.270 0.000 2.100
Th 2.197 -1.668 4.590
Th 3.143 -5.014 3.220
Co -0.045 0.000 5.370
Os 0.654 4.112 3.992
Os 0.654 -4.112 3.992
```

Results
VASP energy   -8.15 eV/atom
Energy of formation   -68 kJ/mol of formula units

---

VASP calculation (PBE) on a geometry-optimized ThCoOs structure. Values from VASP.

```
&SYSTEM
  ibrav = 0, nat = 3, ntyp = 3
/
ATOMIC_SPECIES
Th 232.04 Th.upf
Co 58.93 Co.upf
Os 190.23 Os.upf
CELL_PARAMETERS angstrom
4.132 0.000 0.000
-2.066 3.578 0.000
0.000 0.000 4.077
ATOMIC_POSITIONS angstrom
Th 0.000 0.000 0.000
Co 2.066 1.193 2.038
Os 0.000 2.386 2.038
```

Results
VASP energy   -8.76 eV/atom
Energy of formation   -51 kJ/mol of formula units

---

VASP calculation (PBE) on a geometry-optimized ThCo2Os structure. Values from VASP.

```
&SYSTEM
  ibrav = 0, nat = 12, ntyp = 3
/
ATOMIC_SPECIES
Th 232.04 Th.upf
Co 58.93 Co.upf
Os 190.23 Os.upf
CELL_PARAMETERS angstrom
2.528 1.459 8.688
-2.528 1.459 8.688
0.000 -2.919 8.688
ATOMIC_POSITIONS angstrom
Th 0.000 0.000 0.000
Th 0.000 0.000 3.533
Th 0.000 0.000 22.530
Co -1.245 -0.719 10.786
Co 0.000 -1.438 15.277
Co -1.245 0.719 15.277
Co 1.245 -0.719 10.786
Co 0.000 1.438 10.786
Co 1.245 0.719 15.277
Os 0.000 0.000 8.655
Os 0.000 0.000 13.032
Os 0.000 0.000 17.409
```

Results
Relative energy among the computed polymorphs   0 meV/atom
VASP energy   -8.35 eV/atom
Energy of formation   -52 kJ/mol of formula units

---

VASP calculation (PBE) on a geometry-optimized Th4CoOs structure. Values from VASP.

```
&SYSTEM
  ibrav = 0, nat = 12, ntyp = 3
/
ATOMIC_SPECIES
Th 232.04 Th.upf
Co 58.93 Co.upf
Os 190.23 Os.upf
CELL_PARAMETERS angstrom
5.872 0.000 0.000
0.000 6.561 0.000
-1.374 0.000 7.976
ATOMIC_POSITIONS angstrom
Th 0.206 1.640 3.787
Th 0.186 3.355 6.929
Th 0.186 6.486 6.929
Th 1.387 4.920 2.391
Th 3.111 1.640 5.585
Th 4.312 0.075 1.047
Th 4.312 3.205 1.047
Th 4.292 4.920 4.189
Co 1.266 4.920 4.943
Co 3.231 1.640 3.033
Os 1.211 1.640 1.182
Os 3.287 4.920 6.794
```

Results
VASP energy   -8.11 eV/atom
Energy of formation   -65 kJ/mol of formula units

---

VASP calculation (PBE) on a geometry-optimized Th4Co3Os structure. Values from VASP.

```
&SYSTEM
  ibrav = 0, nat = 8, ntyp = 3
/
ATOMIC_SPECIES
Th 232.04 Th.upf
Co 58.93 Co.upf
Os 190.23 Os.upf
CELL_PARAMETERS angstrom
3.799 0.000 0.000
0.000 4.031 0.000
0.000 0.000 11.181
ATOMIC_POSITIONS angstrom
Th 0.000 0.000 0.000
Th 0.000 2.016 2.972
Th 1.900 0.000 5.531
Th 1.900 2.016 8.598
Co 0.000 2.016 5.940
Co 1.900 0.000 2.481
Co 1.900 2.016 0.499
Os 0.000 0.000 8.036
```

Results
VASP energy   -8.11 eV/atom
Energy of formation   -253 kJ/mol of formula units

---

- Among the records above, which one has the highest energy of formation?
  number 5

---

- Look up the energy of formation of the sixth one.
  -93 kJ/mol of formula units